(1)
{"formula": "LiSc5", "functional": "meta-GGA SCAN", "state": "single point on PBEsol structure", "lattice_angstrom": [[3.249, 0.000, 0.000], [0.000, 5.101, 0.000], [-1.625, 0.000, 8.349]], "species": ["Sc", "Li", "Sc", "Sc", "Sc", "Sc"], "fractional_positions": [[0.447, 0.500, 0.893], [0.000, 0.000, 0.000], [0.778, 0.500, 0.555], [0.331, 0.000, 0.661], [0.112, 0.500, 0.224], [0.666, 0.000, 0.332]], "space_group": "Amm2 (38)", "magnetic_moment_mub_per_fu": 2.89, "formation_enthalpy_0k_ev_per_atom": 0.0992}

---

(2)
{"formula": "LiSc4Se", "functional": "meta-GGA SCAN", "state": "single point on PBEsol structure", "lattice_angstrom": [[5.836, 0.000, 0.000], [2.918, 5.054, 0.000], [2.918, 1.685, 4.765]], "species": ["Sc", "Sc", "Sc", "Li", "Sc", "Se"], "fractional_positions": [[0.375, 0.375, 0.375], [0.876, 0.375, 0.375], [0.375, 0.375, 0.876], [0.000, 0.000, 0.000], [0.375, 0.876, 0.375], [0.750, 0.750, 0.750]], "raw_formation_energy_ev_per_atom": 0.313, "space_group": "F-43m (216)", "magnetic_moment_mub_per_fu": 0.00}

---

(3)
{"formula": "LiScSe2", "functional": "meta-GGA SCAN", "state": "single point on PBEsol structure", "lattice_angstrom": [[-0.782, 2.271, 4.061], [-4.003, 2.420, 0.617], [-3.279, -1.588, 2.998]], "species": ["Sc", "Li", "Se", "Se"], "fractional_positions": [[0.000, 0.000, 0.000], [0.500, 0.500, 0.500], [0.250, 0.250, 0.250], [0.750, 0.750, 0.750]], "raw_formation_energy_ev_per_atom": -1.336, "space_group": "Fm-3m (225)", "magnetic_moment_mub_per_fu": 0.00}

---

(4)
{"formula": "Li3ScSe", "functional": "meta-GGA SCAN", "state": "single point on PBEsol structure", "lattice_angstrom": [[5.150, 0.000, 0.000], [0.000, 5.150, 0.000], [0.000, 0.000, 5.150]], "species": ["Li", "Li", "Se", "Li", "Sc"], "fractional_positions": [[0.500, 0.000, 0.000], [0.000, 0.000, 0.500], [0.500, 0.500, 0.500], [0.000, 0.500, 0.000], [0.000, 0.000, 0.000]], "raw_formation_energy_ev_per_atom": 0.795, "space_group": "Pm-3m (221)", "magnetic_moment_mub_per_fu": 2.01}